Record 1
Crystalline LiCo4O5 at its relaxed geometry. Source: Alexandria, functional PBE with a Hubbard U.

The structure in extended XYZ format:
```
10
Lattice="-3.3496 3.3496 2.1051 3.3496 -3.3496 2.1051 3.3496 3.3496 -2.1051" Properties=species:S:1:pos:R:3 pbc="T T T"
Li 0.0000 0.0000 0.0000
Co 1.3706 4.0276 0.0000
Co 2.6717 1.3706 0.0000
Co 0.6780 1.9790 2.1051
Co 1.9790 -0.6780 2.1051
O 2.6616 1.2840 2.1051
O 0.6880 2.0656 0.0000
O -1.2841 2.6616 2.1051
O 0.0000 0.0000 2.1051
O 4.6337 0.6880 0.0000
```

## Properties
- size of the total moment (μB/cell) = 11.0
- E_tot (eV per atom) = -5.83


Record 2
Crystalline Li4Co3O7 at its relaxed geometry. Source: Alexandria, functional PBE with a Hubbard U.

The structure in extended XYZ format:
```
28
Lattice="-4.3102 -1.1723 -3.7879 2.0613 -5.0725 -5.4065 -4.3714 -3.2211 3.5981" Properties=species:S:1:pos:R:3 pbc="T T T"
Li -0.6914 -4.5021 -4.7006
Li -1.2470 -3.3171 -2.1271
Li -5.9040 -4.9379 -0.9143
Li -0.1358 -5.6870 -7.2741
Li -4.7020 -7.1725 -6.0874
Li -5.3624 -6.2251 -3.5036
Li -1.9116 -2.2149 0.5177
Li -2.8465 -5.0882 -6.5945
Co -2.2793 -6.2237 -9.1375
Co -3.4138 -3.9527 -4.0516
Co -4.0388 -2.7654 -1.3588
Co -2.6023 -6.6876 -4.1871
Co -3.1519 -5.5376 -1.6160
Co -3.7768 -4.3873 0.9622
O -3.3652 -6.9157 -7.6157
O -3.9875 -5.5549 -4.8960
O -4.2777 -5.8867 -0.0508
O -0.5230 -1.6112 -1.1226
O -5.1384 -3.3373 0.1114
O -3.7899 -7.2045 -2.7013
O -4.4910 -4.3551 -2.3288
O -6.6993 -6.4819 -1.9753
O -2.9212 -2.3205 -2.8721
O -3.3246 -2.7976 1.9322
O -6.0769 -7.8427 -4.6950
O -1.9643 -5.0207 -3.1018
O -2.6772 -3.8154 -0.5080
O -1.4766 -6.3386 -5.7523
```

## Properties
- size of the total moment (μB/cell) = 14.0
- E_tot (eV per atom) = -5.52


Record 3
Crystalline Li10Co4O9 at its relaxed geometry. Source: Alexandria, functional PBE with a Hubbard U.

The structure in extended XYZ format:
```
46
Lattice="9.8169 0.0000 0.0000 0.0000 9.8169 0.0000 0.0000 0.0000 4.6988" Properties=species:S:1:pos:R:3 pbc="T T T"
Li 4.9085 0.0000 3.9305
Li 0.0000 4.9085 3.1177
Li 0.0000 4.9085 0.7683
Li 4.9085 0.0000 1.5811
Li 6.7446 1.4174 3.7183
Li 3.0723 8.3995 3.7183
Li 7.9807 6.3259 3.3300
Li 1.8362 3.4910 3.3300
Li 8.3995 3.0723 0.9806
Li 1.4174 6.7446 0.9806
Li 3.4910 1.8362 1.3688
Li 6.3259 7.9807 1.3688
Li 7.9807 3.4910 3.3300
Li 1.8362 6.3259 3.3300
Li 6.7446 8.3995 3.7183
Li 3.0723 1.4174 3.7183
Li 6.3259 1.8362 1.3688
Li 3.4910 7.9807 1.3688
Li 1.4174 3.0723 0.9806
Li 8.3995 6.7446 0.9806
Co 4.9085 3.3276 3.6156
Co 4.9085 6.4893 3.6156
Co 0.0000 8.2361 3.4326
Co 0.0000 1.5809 3.4326
Co 6.4893 4.9085 1.0832
Co 3.3276 4.9085 1.0832
Co 1.5809 0.0000 1.2662
Co 8.2361 0.0000 1.2662
O 6.6107 3.2062 0.0000
O 3.2062 6.6107 0.0000
O 8.1147 8.1147 2.3494
O 1.7022 1.7022 2.3494
O 8.1147 1.7022 2.3494
O 1.7022 8.1147 2.3494
O 6.6107 6.6107 0.0000
O 3.2062 3.2062 0.0000
O 0.0000 0.0000 0.0000
O 4.9085 4.9085 2.3494
O 0.0000 3.3591 4.3479
O 0.0000 6.4578 4.3479
O 4.9085 8.2676 2.7003
O 4.9085 1.5493 2.7003
O 6.4578 0.0000 0.3509
O 3.3591 0.0000 0.3509
O 1.5493 4.9085 1.9985
O 8.2676 4.9085 1.9985
```

## Properties
- size of the total moment (μB/cell) = 24.2
- E_tot (eV per atom) = -5.23